1.
{
  "formula": "CaMoPt",
  "functional": "SCAN",
  "state": "PBEsol geometry",
  "cell": [[4.392, 0.000, 0.000], [2.196, 3.804, 0.000], [2.196, 1.268, 3.586]],
  "species": ["Mo", "Ca", "Pt"],
  "fractional_positions": [[0.750, 0.750, 0.750], [0.500, 0.500, 0.500], [0.000, 0.000, 0.000]],
  "de_polymorph_mev_per_atom": 431,
  "final_energy_ev_per_atom": -37.768,
  "e_form_ev_per_atom": 0.48
}

=====

2.
{
  "formula": "Ca4MoPt",
  "functional": "SCAN",
  "state": "PBEsol geometry",
  "cell": [[5.967, 0.000, 0.000], [2.983, 5.167, 0.000], [2.983, 1.722, 4.872]],
  "species": ["Mo", "Ca", "Ca", "Ca", "Ca", "Pt"],
  "fractional_positions": [[0.750, 0.750, 0.750], [0.374, 0.877, 0.374], [0.374, 0.374, 0.877], [0.877, 0.374, 0.374], [0.374, 0.374, 0.374], [0.000, 0.000, 0.000]],
  "final_energy_ev_per_atom": -23.025,
  "e_form_ev_per_atom": 0.93
}

=====

3.
{
  "formula": "CaMoPt",
  "functional": "SCAN",
  "state": "PBEsol geometry",
  "cell": [[-3.075, -3.167, 0.902], [1.194, -4.343, 0.073], [0.145, -2.231, 3.911]],
  "species": ["Ca", "Mo", "Pt"],
  "fractional_positions": [[0.750, 0.750, 0.750], [0.000, 0.000, 0.000], [0.500, 0.500, 0.500]],
  "de_polymorph_mev_per_atom": 976,
  "final_energy_ev_per_atom": -37.222,
  "e_form_ev_per_atom": 1.02
}

=====

4.
{
  "formula": "CaMoPt2",
  "functional": "SCAN",
  "state": "PBEsol geometry",
  "cell": [[-1.319, -1.181, -2.239], [-0.995, -2.079, 1.683], [-6.699, 4.485, 1.582]],
  "species": ["Pt", "Pt", "Ca", "Mo"],
  "fractional_positions": [[0.000, 0.000, 0.277], [0.000, 0.000, 0.723], [0.500, 0.500, 0.000], [0.500, 0.500, 0.500]],
  "de_polymorph_mev_per_atom": 0,
  "final_energy_ev_per_atom": -46.720,
  "e_form_ev_per_atom": -0.49
}

=====

5.
{
  "formula": "CaMoPt2",
  "functional": "SCAN",
  "state": "PBEsol geometry",
  "cell": [[2.792, 0.000, 0.000], [0.000, 4.908, 0.044], [0.000, -0.055, 4.908]],
  "species": ["Pt", "Pt", "Mo", "Ca"],
  "fractional_positions": [[0.000, 0.000, 0.500], [0.000, 0.500, 0.000], [0.500, 0.500, 0.500], [0.500, 0.000, 0.000]],
  "de_polymorph_mev_per_atom": 61,
  "final_energy_ev_per_atom": -46.660,
  "e_form_ev_per_atom": -0.43
}

=====

6.
{
  "formula": "CaMo2PtSe",
  "functional": "SCAN",
  "state": "PBEsol geometry",
  "cell": [[-0.960, 4.158, 1.539], [-4.106, -0.240, -1.915], [-1.875, -2.015, 4.273]],
  "species": ["Ca", "Pt", "Mo", "Mo", "Se"],
  "fractional_positions": [[0.000, 0.000, 0.500], [0.500, 0.500, 0.500], [0.000, 0.500, 0.000], [0.500, 0.000, 0.000], [0.000, 0.000, 0.000]],
  "final_energy_ev_per_atom": -33.138,
  "raw_formation_energy_kj_per_mol_atoms": 77.48
}

=====

7.
{
  "formula": "RbSr2CaMo",
  "functional": "SCAN",
  "state": "PBEsol geometry",
  "cell": [[5.006, 0.000, 0.000], [0.000, 6.074, 0.000], [0.000, 0.000, 6.074]],
  "species": ["Rb", "Ca", "Sr", "Sr", "Mo"],
  "fractional_positions": [[0.000, 0.000, 0.000], [0.500, 0.500, 0.500], [0.000, 0.500, 0.000], [0.000, 0.000, 0.500], [0.500, 0.000, 0.000]],
  "final_energy_ev_per_atom": -20.506,
  "e_form_ev_per_atom": 1.46
}

=====

8.
{
  "formula": "CaReMo2",
  "functional": "SCAN",
  "state": "PBEsol geometry",
  "cell": [[2.621, 0.000, 0.000], [0.000, 5.378, 0.000], [0.000, -2.689, 4.750]],
  "species": ["Mo", "Mo", "Ca", "Re"],
  "fractional_positions": [[0.000, 0.500, 0.500], [0.000, 0.000, 0.500], [0.500, 0.500, 0.000], [0.500, 0.000, 0.000]],
  "de_polymorph_mev_per_atom": 254,
  "final_energy_ev_per_atom": -36.835,
  "e_form_ev_per_atom": 0.80
}

=====

9.
{
  "formula": "CaReMo2",
  "functional": "SCAN",
  "state": "PBEsol geometry",
  "cell": [[-3.077, -0.528, -0.195], [0.413, -2.856, 1.209], [-0.902, 2.746, 6.794]],
  "species": ["Mo", "Mo", "Ca", "Re"],
  "fractional_positions": [[0.000, 0.000, 0.055], [0.500, 0.500, 0.256], [0.500, 0.500, 0.743], [0.000, 0.000, 0.446]],
  "de_polymorph_mev_per_atom": 0,
  "final_energy_ev_per_atom": -37.089,
  "e_form_ev_per_atom": 0.54
}

=====

10.
{
  "formula": "CaReMo2",
  "functional": "SCAN",
  "state": "PBEsol geometry",
  "cell": [[-0.324, -2.307, -1.379], [3.514, -1.747, 2.097], [-3.290, -1.227, 4.490]],
  "species": ["Ca", "Re", "Mo", "Mo"],
  "fractional_positions": [[0.000, 0.500, 0.500], [0.500, 0.500, 0.000], [0.749, 0.000, 0.781], [0.251, 0.000, 0.219]],
  "de_polymorph_mev_per_atom": 43,
  "final_energy_ev_per_atom": -37.046,
  "e_form_ev_per_atom": 0.59
}